# 1
{"formula": "CaPdIO2", "functional": "PBE", "state": "relaxed", "e_form_raw_mev_per_atom": -551, "polymorph_energy_mev_per_atom": 0.0, "space_group": "P4/mmm (123)", "volume_a3_per_cell": 94.6, "lattice": [[-1.591, 3.264, -2.256], [0.306, -2.322, -3.576], [-4.793, -1.808, 0.764]], "species": ["Ca", "O", "O", "I", "Pd"], "fractional_positions": [[0.500, 0.500, 0.500], [0.000, 0.500, 0.000], [0.500, 0.000, 0.000], [0.000, 0.000, 0.500], [0.000, 0.000, 0.000]]}


# 2
{"formula": "CaPdIO2", "functional": "PBE", "state": "relaxed", "e_form_raw_mev_per_atom": -342, "polymorph_energy_mev_per_atom": 208.8, "space_group": "P4/mmm (123)", "volume_a3_per_cell": 123.6, "lattice": [[4.273, 0.000, 0.000], [0.000, 4.273, 0.000], [0.000, 0.000, 6.767]], "species": ["O", "O", "Pd", "Ca", "I"], "fractional_positions": [[0.500, 0.000, 0.000], [0.000, 0.500, 0.000], [0.500, 0.500, 0.500], [0.000, 0.000, 0.000], [0.000, 0.000, 0.500]]}


# 3
{"formula": "CaPdIO6", "functional": "PBE", "state": "relaxed", "e_form_raw_mev_per_atom": -968, "space_group": "P-31c (163)", "volume_a3_per_cell": 246.7, "lattice": [[-5.319, 0.151, -0.211], [2.495, -4.592, 1.027], [-0.333, 2.018, 9.832]], "species": ["O", "O", "O", "O", "O", "O", "O", "O", "O", "O", "O", "O", "I", "I", "Pd", "Pd", "Ca", "Ca"], "fractional_positions": [[0.028, 0.380, 0.641], [0.352, 0.380, 0.859], [0.352, 0.972, 0.641], [0.648, 0.620, 0.141], [0.380, 0.028, 0.141], [0.028, 0.648, 0.859], [0.972, 0.352, 0.141], [0.648, 0.028, 0.359], [0.972, 0.620, 0.359], [0.620, 0.972, 0.859], [0.380, 0.352, 0.359], [0.620, 0.648, 0.641], [0.333, 0.667, 0.750], [0.667, 0.333, 0.250], [0.333, 0.667, 0.250], [0.667, 0.333, 0.750], [0.000, 0.000, 0.000], [0.000, 0.000, 0.500]]}


# 4
{"formula": "CaPmIO6", "functional": "PBE", "state": "relaxed", "e_form_raw_mev_per_atom": -1837, "space_group": "P-31c (163)", "volume_a3_per_cell": 267.5, "lattice": [[-1.402, -2.907, -4.745], [5.323, -0.355, 2.116], [-2.576, -7.330, 5.252]], "species": ["O", "O", "O", "O", "O", "O", "O", "O", "O", "O", "O", "O", "Ca", "Ca", "I", "I", "Pm", "Pm"], "fractional_positions": [[0.391, 0.059, 0.136], [0.391, 0.332, 0.364], [0.941, 0.609, 0.364], [0.332, 0.391, 0.864], [0.941, 0.332, 0.136], [0.059, 0.668, 0.864], [0.609, 0.668, 0.636], [0.332, 0.941, 0.636], [0.668, 0.609, 0.136], [0.609, 0.941, 0.864], [0.668, 0.059, 0.364], [0.059, 0.391, 0.636], [0.000, 0.000, 0.500], [0.000, 0.000, 0.000], [0.333, 0.667, 0.750], [0.667, 0.333, 0.250], [0.333, 0.667, 0.250], [0.667, 0.333, 0.750]]}


# 5
{"formula": "CaPrIO2", "functional": "PBE", "state": "relaxed", "e_form_raw_mev_per_atom": -2746, "space_group": "P2_1/m (11)", "volume_a3_per_cell": 248.9, "lattice": [[-0.269, -1.832, 3.897], [4.552, -5.136, -2.100], [5.149, 5.638, 3.006]], "species": ["O", "O", "O", "O", "I", "I", "Pr", "Pr", "Ca", "Ca"], "fractional_positions": [[0.250, 0.478, 0.611], [0.750, 0.522, 0.389], [0.250, 0.497, 0.133], [0.750, 0.503, 0.867], [0.250, 0.024, 0.751], [0.750, 0.976, 0.249], [0.250, 0.654, 0.399], [0.750, 0.346, 0.601], [0.250, 0.620, 0.897], [0.750, 0.380, 0.103]]}


# 6
{"formula": "CaPrIO6", "functional": "PBE", "state": "relaxed", "e_form_raw_mev_per_atom": -1806, "space_group": "P-31c (163)", "volume_a3_per_cell": 270.2, "lattice": [[5.810, 0.000, 0.000], [-2.905, 5.032, 0.000], [0.000, 0.000, 9.243]], "species": ["Pr", "Pr", "O", "O", "O", "O", "O", "O", "O", "O", "O", "O", "O", "O", "I", "I", "Ca", "Ca"], "fractional_positions": [[0.333, 0.667, 0.250], [0.667, 0.333, 0.750], [0.936, 0.607, 0.366], [0.607, 0.936, 0.866], [0.936, 0.329, 0.134], [0.064, 0.671, 0.866], [0.329, 0.936, 0.634], [0.671, 0.064, 0.366], [0.393, 0.329, 0.366], [0.671, 0.607, 0.134], [0.064, 0.393, 0.634], [0.607, 0.671, 0.634], [0.329, 0.393, 0.866], [0.393, 0.064, 0.134], [0.667, 0.333, 0.250], [0.333, 0.667, 0.750], [0.000, 0.000, 0.000], [0.000, 0.000, 0.500]]}


# 7
{"formula": "CaPtIO6", "functional": "PBE", "state": "relaxed", "e_form_raw_mev_per_atom": -994, "space_group": "P-31c (163)", "volume_a3_per_cell": 252.4, "lattice": [[5.365, 0.000, 0.000], [-2.683, 4.646, 0.000], [0.000, 0.000, 10.126]], "species": ["O", "O", "O", "O", "O", "O", "O", "O", "O", "O", "O", "O", "Pt", "Pt", "Ca", "Ca", "I", "I"], "fractional_positions": [[0.361, 0.364, 0.359], [0.003, 0.639, 0.359], [0.639, 0.636, 0.641], [0.636, 0.997, 0.359], [0.997, 0.636, 0.859], [0.364, 0.361, 0.859], [0.364, 0.003, 0.641], [0.361, 0.997, 0.141], [0.639, 0.003, 0.859], [0.997, 0.361, 0.641], [0.003, 0.364, 0.141], [0.636, 0.639, 0.141], [0.333, 0.667, 0.250], [0.667, 0.333, 0.750], [0.000, 0.000, 0.000], [0.000, 0.000, 0.500], [0.667, 0.333, 0.250], [0.333, 0.667, 0.750]]}


# 8
{"formula": "CaPuIO2", "functional": "PBE", "state": "relaxed", "e_form_raw_mev_per_atom": -2559, "space_group": "P2_1/m (11)", "volume_a3_per_cell": 232.6, "lattice": [[-0.245, 3.818, 1.786], [-6.506, 0.870, -2.752], [-1.226, -3.418, 7.136]], "species": ["O", "O", "O", "O", "I", "I", "Pu", "Pu", "Ca", "Ca"], "fractional_positions": [[0.250, 0.490, 0.135], [0.750, 0.527, 0.392], [0.250, 0.473, 0.608], [0.750, 0.510, 0.865], [0.250, 0.034, 0.759], [0.750, 0.966, 0.241], [0.250, 0.647, 0.406], [0.750, 0.353, 0.594], [0.750, 0.359, 0.086], [0.250, 0.641, 0.914]]}